Material: TiCrHF2
Method: DFT, PBE with a Hubbard U
State: relaxed

Summary:
ρ = 3.714 g/cm3
size of the total moment = 0.7203 μB per atom
uncorrected energy = -5.148 eV/atom
SG = No. 123

a = 4.3483 Å, b = 4.3483 Å, c = 3.2840 Å
α = 90.00°, β = 90.00°, γ = 90.00°
Element x y z (fractional)
Ti1 0.0000 0.0000 0.0000
Cr1 0.5000 0.5000 0.0000
H1 0.0000 0.0000 0.5000
F1 0.0000 0.5000 0.5000
F2 0.5000 0.0000 0.5000